First-principles (PBE) data for a relaxed structure of YB2PdO, as listed in Alexandria.

Values from the calculation:
V, Å³/atom: 14.63
Energy relative to the elements, uncorrected, eV per atom: 0.124
E, eV/atom: -5.870
DOS at the Fermi energy, states/eV per atom: 0.792
Mass density, g cm⁻³: 5.29
Crystal system: tetragonal

abc: 3.899 3.899 4.811
angles: 90.00 90.00 90.00
Element x y z (fractional)
Y 0.000 0.000 0.000
B 0.000 0.500 0.500
B 0.500 0.000 0.500
Pd 0.500 0.500 0.500
O 0.500 0.500 0.000